1.
# GaPd2PtW

A geometry-optimized GaPd2PtW structure (PBE, Alexandria).

Cell: 4.865 4.865 4.868 Å, 90.00 90.00 90.00°
Space group P4/mmm (No. 123)
Inequivalent atoms, fractional coordinates:
Ga1 0.000 0.000 0.000 [1 per cell]
Pd1 0.000 0.500 0.500 [2 per cell]
Pt1 0.500 0.500 0.000 [1 per cell]
W1 0.500 0.500 0.500 [1 per cell]

Fermi-level density of states   0.873 states/eV per atom
Total magnetization   0.00 μB per formula unit
Volume   23.047 Å³ per atom
VASP energy   -5.45 eV/atom

---

2.
# Y2Ga4PdPt3

A geometry-optimized Y2Ga4PdPt3 structure (PBE, Alexandria).

Cell: 4.113 4.113 11.057 Å, 90.00 90.00 90.00°
Space group P-4m2 (No. 115)
Inequivalent atoms, fractional coordinates:
Y1 0.000 0.500 0.246 [2 per cell]
Ga1 0.000 0.000 0.000 [1 per cell]
Ga2 0.000 0.500 0.634 [2 per cell]
Ga3 0.500 0.500 0.000 [1 per cell]
Pd1 0.000 0.000 0.500 [1 per cell]
Pt1 0.000 0.500 0.859 [2 per cell]
Pt2 0.500 0.500 0.500 [1 per cell]

Fermi-level density of states   0.412 states/eV per atom
Total magnetization   0.00 μB per formula unit
Volume   18.701 Å³ per atom
VASP energy   -5.77 eV/atom

---

3.
# YGa2Pd2Pt

A geometry-optimized YGa2Pd2Pt structure (PBE, Alexandria).

Cell: 4.718 4.718 5.537 Å, 90.00 90.00 90.00°
Space group P4/mmm (No. 123)
Inequivalent atoms, fractional coordinates:
Y1 0.000 0.000 0.000 [1 per cell]
Ga1 0.000 0.500 0.500 [2 per cell]
Pd1 0.500 0.500 0.244 [2 per cell]
Pt1 0.000 0.000 0.500 [1 per cell]

Fermi-level density of states   0.479 states/eV per atom
Total magnetization   0.00 μB per formula unit
Volume   20.541 Å³ per atom
VASP energy   -5.33 eV/atom

---

4.
# Y2Ga2PdPt5

A geometry-optimized Y2Ga2PdPt5 structure (PBE, Alexandria).

Cell: 9.652 9.652 3.796 Å, 90.00 90.00 90.00°
Space group P4/mbm (No. 127)
Inequivalent atoms, fractional coordinates:
Y1 0.177 0.323 0.000 [4 per cell]
Ga1 0.123 0.623 0.000 [4 per cell]
Pd1 0.000 0.000 0.000 [2 per cell]
Pt1 0.000 0.500 0.500 [2 per cell]
Pt2 0.064 0.796 0.500 [8 per cell]

Fermi-level density of states   0.332 states/eV per atom
Total magnetization   0.00 μB per formula unit
Volume   17.681 Å³ per atom
VASP energy   -6.29 eV/atom

---

5.
# YGaPdPt

A geometry-optimized YGaPdPt structure (PBE, Alexandria).

Cell: 6.637 6.637 6.637 Å, 90.00 90.00 90.00°
Space group F-43m (No. 216)
Inequivalent atoms, fractional coordinates:
Y1 0.000 0.000 0.000 [4 per cell]
Ga1 0.000 0.000 0.500 [4 per cell]
Pd1 0.250 0.250 0.750 [4 per cell]
Pt1 0.250 0.250 0.250 [4 per cell]

Fermi-level density of states   0.793 states/eV per atom
Total magnetization   0.00 μB per formula unit
Volume   18.272 Å³ per atom
VASP energy   -6.04 eV/atom

---

6.
# YGa2PdPt2

A geometry-optimized YGa2PdPt2 structure (PBE, Alexandria).

Cell: 4.3721 4.3721 6.4550 Å, 90.00 90.00 120.00°
Space group P-3m1 (No. 164)
Inequivalent atoms, fractional coordinates:
Y1 0.0000 0.0000 0.0000 [1 per cell]
Ga1 0.3333 0.6667 0.3118 [2 per cell]
Pd1 0.0000 0.0000 0.5000 [1 per cell]
Pt1 0.3333 0.6667 0.7255 [2 per cell]

Fermi-level density of states   0.475 states/eV per atom
Total magnetization   0.00 μB per formula unit
Volume   17.809 Å³ per atom
VASP energy   -5.91 eV/atom

---

7.
# PuGa9Pd2

A geometry-optimized PuGa9Pd2 structure (PBE, Alexandria).

Cell: 11.312 11.312 6.736 Å, 90.00 90.00 90.00°
Space group I4_1/amd (No. 141, origin choice 2)
Inequivalent atoms, fractional coordinates:
Pu1 0.000 0.250 0.375 [4 per cell]
Ga1 0.000 0.250 0.875 [4 per cell]
Ga2 0.119 0.061 0.668 [32 per cell]
Pd1 0.000 0.000 0.000 [8 per cell]

Fermi-level density of states   1.036 states/eV per atom
Total magnetization   5.66 μB per formula unit
Volume   17.957 Å³ per atom
VASP energy   -4.60 eV/atom

---

8.
# Pu2Ga4Pd

A geometry-optimized Pu2Ga4Pd structure (PBE, Alexandria).

Cell: 5.183 4.054 6.932 Å, 90.00 99.25 90.00°
Space group P2/m (No. 10)
Inequivalent atoms, fractional coordinates:
Pu1 0.230 0.000 0.156 [2 per cell]
Ga1 0.226 0.000 0.600 [2 per cell]
Ga2 0.285 0.500 0.838 [2 per cell]
Pd1 0.500 0.500 0.500 [1 per cell]

Fermi-level density of states   2.826 states/eV per atom
Total magnetization   11.12 μB per formula unit
Volume   20.536 Å³ per atom
VASP energy   -6.90 eV/atom

---

9.
# Pu2Ga6Pd

A geometry-optimized Pu2Ga6Pd structure (PBE, Alexandria).

Cell: 5.9924 5.9924 5.5149 Å, 90.00 90.00 120.00°
Space group P-3m1 (No. 164)
Inequivalent atoms, fractional coordinates:
Pu1 0.3333 0.6667 0.3165 [2 per cell]
Ga1 0.1779 0.3558 0.8158 [6 per cell]
Pd1 0.0000 0.0000 0.5000 [1 per cell]

Fermi-level density of states   1.996 states/eV per atom
Total magnetization   11.18 μB per formula unit
Volume   19.057 Å³ per atom
VASP energy   -6.23 eV/atom

---

10.
# PuGa4Pd2

A geometry-optimized PuGa4Pd2 structure (PBE, Alexandria).

Cell: 17.405 4.375 6.592 Å, 90.00 90.00 90.00°
Space group Pnma (No. 62)
Inequivalent atoms, fractional coordinates:
Pu1 0.139 0.250 0.013 [4 per cell]
Ga1 0.038 0.750 0.838 [4 per cell]
Ga2 0.072 0.250 0.484 [4 per cell]
Ga3 0.183 0.750 0.320 [4 per cell]
Ga4 0.189 0.750 0.726 [4 per cell]
Pd1 0.034 0.750 0.250 [4 per cell]
Pd2 0.217 0.250 0.527 [4 per cell]

Fermi-level density of states   1.988 states/eV per atom
Total magnetization   5.34 μB per formula unit
Volume   17.926 Å³ per atom
VASP energy   -5.81 eV/atom

---

11.
# Pu6GaPd5

A geometry-optimized Pu6GaPd5 structure (PBE, Alexandria).

Cell: 4.581 8.146 13.806 Å, 90.00 90.00 90.00°
Space group Immm (No. 71)
Inequivalent atoms, fractional coordinates:
Pu1 0.000 0.239 0.000 [4 per cell]
Pu2 0.000 0.255 0.333 [8 per cell]
Ga1 0.000 0.000 0.500 [2 per cell]
Pd1 0.000 0.000 0.171 [4 per cell]
Pd2 0.000 0.500 0.160 [4 per cell]
Pd3 0.000 0.500 0.500 [2 per cell]

Fermi-level density of states   3.718 states/eV per atom
Total magnetization   34.44 μB per formula unit
Volume   21.467 Å³ per atom
VASP energy   -9.95 eV/atom

---

12.
# Pu2Ga2Pd

A geometry-optimized Pu2Ga2Pd structure (PBE, Alexandria).

Cell: 9.730 5.667 7.949 Å, 90.00 102.46 90.00°
Space group C2/c (No. 15)
Inequivalent atoms, fractional coordinates:
Pu1 0.146 0.112 0.159 [8 per cell]
Ga1 0.128 0.382 0.498 [8 per cell]
Pd1 0.000 0.349 0.750 [4 per cell]

Fermi-level density of states   3.284 states/eV per atom
Total magnetization   11.57 μB per formula unit
Volume   21.397 Å³ per atom
Excess energy over the best structure of this formula in the dataset   4.0 meV per atom